Bi2PbW2 (PBE, relaxed); DOS(E_F) = 3.4 states/eV per cell; calculated density = 11.8 g/cm3; E = -6.875 eV per atom; calculated formation energy = 3.00 eV per formula unit; symmetry = I4/mmm
1.0
-1.847 1.847 10.225
1.847 -1.847 10.225
1.847 1.847 -10.225
Bi Pb W
2 1 2
direct
0.135 0.135 0.000
0.865 0.865 0.000
0.500 0.500 0.000
0.250 0.750 0.500
0.750 0.250 0.500


GaSeS (PBE, relaxed); calculated density = 3.9 g/cm3; raw formation energy = -391 meV per atom; E = -3.937 eV per atom; symmetry = P1
1.0
4.151 0.000 0.000
-0.354 6.321 0.000
-0.322 -2.614 5.798
Ga Se S
2 2 2
direct
0.000 0.000 0.000
0.327 0.151 0.665
0.649 0.837 0.194
0.866 0.340 0.905
0.246 0.802 0.677
0.421 0.187 0.323


Er2InO (PBE, relaxed); DOS(E_F) = 2.8 states/eV per cell; calculated density = 10.3 g/cm3; raw formation energy = -1094 meV per atom; E = -5.300 eV per atom; symmetry = P4/mmm
1.0
3.088 0.000 0.000
0.000 3.088 0.000
0.000 0.000 7.882
Er In O
2 1 1
direct
0.000 0.000 0.196
0.000 0.000 0.804
0.500 0.500 0.500
0.500 0.500 0.000


CeHN2 (PBE, relaxed); DOS(E_F) = 2.8 states/eV per cell; calculated density = 5.1 g/cm3; E = -6.876 eV per atom; symmetry = R-3m
1.0
1.871 1.080 4.517
-1.871 1.080 4.517
0.000 -2.161 4.517
Ce H N
1 1 2
direct
0.000 0.000 0.000
0.500 0.500 0.500
0.407 0.407 0.407
0.593 0.593 0.593


HfI2F (PBE, relaxed); DOS(E_F) = 3.6 states/eV per cell; calculated density = 8.4 g/cm3; raw formation energy = -715 meV per atom; E = -4.446 eV per atom; symmetry = Fm-3m
1.0
0.000 3.550 3.550
3.550 0.000 3.550
3.550 3.550 0.000
Hf I F
1 2 1
direct
0.000 0.000 0.000
0.250 0.250 0.250
0.750 0.750 0.750
0.500 0.500 0.500


AlPb2S (PBE, relaxed); DOS(E_F) = 2.2 states/eV per cell; calculated density = 8.0 g/cm3; raw formation energy = 192 meV per atom; E = -3.629 eV per atom; symmetry = Fm-3m
1.0
0.000 3.666 3.666
3.666 0.000 3.666
3.666 3.666 0.000
Al Pb S
1 2 1
direct
0.000 0.000 0.000
0.250 0.250 0.250
0.750 0.750 0.750
0.500 0.500 0.500


ScCu3Re (PBE, relaxed); DOS(E_F) = 5.4 states/eV per cell; calculated density = 7.1 g/cm3; E = -5.230 eV per atom; calculated formation energy = 4.92 eV per formula unit; symmetry = Pm-3m
1.0
4.614 0.000 0.000
0.000 4.614 0.000
0.000 0.000 4.614
Sc Cu Re
1 3 1
direct
0.000 0.000 0.000
0.000 0.500 0.500
0.500 0.000 0.500
0.500 0.500 0.000
0.500 0.500 0.500


MoRh8 (PBE, relaxed); DOS(E_F) = 8.7 states/eV per cell; calculated density = 11.9 g/cm3; E = -7.863 eV per atom; calculated formation energy = -1.13 eV per formula unit; symmetry = I4/mmm
1.0
-4.085 4.085 1.927
4.085 -4.085 1.927
4.085 4.085 -1.927
Mo Rh
1 8
direct
0.000 0.000 0.000
0.000 0.331 0.331
0.000 0.669 0.669
0.331 0.000 0.331
0.337 0.337 0.674
0.337 0.663 0.000
0.663 0.337 0.000
0.663 0.663 0.326
0.669 0.000 0.669


Sc2CdReN (PBE, relaxed); DOS(E_F) = 5.5 states/eV per cell; calculated density = 6.3 g/cm3; raw formation energy = 235 meV per atom; E = -6.635 eV per atom; symmetry = P4/mmm
1.0
5.267 0.000 0.000
0.000 5.267 0.000
0.000 0.000 3.842
Sc Cd Re N
2 1 1 1
direct
0.000 0.500 0.000
0.500 0.000 0.000
0.000 0.000 0.500
0.500 0.500 0.000
0.500 0.500 0.500


BeRuSe2 (PBE, relaxed); DOS(E_F) = 2.0 states/eV per cell; calculated density = 7.3 g/cm3; raw formation energy = 531 meV per atom; E = -4.462 eV per atom; symmetry = I-4m2
1.0
-1.925 1.925 4.119
1.925 -1.925 4.119
1.925 1.925 -4.119
Be Ru Se
1 1 2
direct
0.000 0.000 0.000
0.250 0.750 0.500
0.500 0.500 0.000
0.750 0.250 0.500


BaAcTc2N6 (PBE, relaxed); DOS(E_F) = 10.9 states/eV per cell; calculated density = 5.8 g/cm3; raw formation energy = -453 meV per atom; E = -8.124 eV per atom; symmetry = C2/c
1.0
5.450 -5.546 0.000
5.450 5.546 0.000
-1.623 0.000 6.067
Ba Ac Tc N
2 2 4 12
direct
0.169 0.831 0.750
0.831 0.169 0.250
0.398 0.602 0.250
0.602 0.398 0.750
0.132 0.300 0.768
0.300 0.132 0.268
0.700 0.868 0.732
0.868 0.700 0.232
0.086 0.642 0.310
0.151 0.182 0.014
0.182 0.151 0.514
0.282 0.488 0.844
0.358 0.914 0.190
0.488 0.282 0.344
0.512 0.718 0.656
0.642 0.086 0.810
0.718 0.512 0.156
0.818 0.849 0.486
0.849 0.818 0.986
0.914 0.358 0.690


YSb2 (PBE, relaxed); DOS(E_F) = 3.3 states/eV per cell; calculated density = 6.6 g/cm3; raw formation energy = -736 meV per atom; E = -5.639 eV per atom; symmetry = C2/m
1.0
3.031 -3.138 0.000
3.031 3.138 0.000
-1.460 0.000 8.853
Y Sb
2 4
direct
0.198 0.198 0.221
0.802 0.802 0.779
0.249 0.751 0.500
0.327 0.327 0.869
0.673 0.673 0.131
0.751 0.249 0.500


DyZnIr (PBE, relaxed); DOS(E_F) = 1.8 states/eV per cell; calculated density = 12.4 g/cm3; E = -5.384 eV per atom; calculated formation energy = -1.42 eV per formula unit; symmetry = I4mm
1.0
-1.710 1.710 4.817
1.710 -1.710 4.817
1.710 1.710 -4.817
Dy Zn Ir
1 1 1
direct
0.000 0.000 0.000
0.300 0.300 0.000
0.673 0.673 0.000


YNb2Ir (PBE, relaxed); DOS(E_F) = 8.5 states/eV per cell; calculated density = 8.9 g/cm3; E = -8.724 eV per atom; calculated formation energy = 0.57 eV per formula unit; symmetry = I-42d
1.0
-3.929 3.929 2.809
3.929 -3.929 2.809
3.929 3.929 -2.809
Y Nb Ir
2 4 2
direct
0.000 0.000 0.000
0.750 0.250 0.500
0.181 0.625 0.056
0.375 0.431 0.556
0.569 0.125 0.944
0.875 0.819 0.444
0.250 0.750 0.500
0.500 0.500 0.000


H2OsAu (PBE, relaxed); DOS(E_F) = 2.4 states/eV per cell; calculated density = 16.3 g/cm3; E = -4.190 eV per atom; symmetry = Fm-3m
1.0
0.000 2.708 2.708
2.708 0.000 2.708
2.708 2.708 0.000
H Os Au
2 1 1
direct
0.250 0.250 0.250
0.750 0.750 0.750
0.000 0.000 0.000
0.500 0.500 0.500


CrCo2H2 (PBE, relaxed); DOS(E_F) = 4.4 states/eV per cell; calculated density = 7.4 g/cm3; E = -5.962 eV per atom; symmetry = I4/mmm
1.0
-1.570 1.570 3.910
1.570 -1.570 3.910
1.570 1.570 -3.910
Cr Co H
1 2 2
direct
0.000 0.000 0.000
0.340 0.340 0.000
0.660 0.660 0.000
0.250 0.750 0.500
0.750 0.250 0.500


ScGa2Ir2 (PBE, relaxed); DOS(E_F) = 4.4 states/eV per cell; calculated density = 10.6 g/cm3; E = -6.571 eV per atom; calculated formation energy = -2.75 eV per formula unit; symmetry = I4/mmm
1.0
-2.052 2.052 10.610
2.052 -2.052 10.610
2.052 2.052 -10.610
Sc Ga Ir
2 4 4
direct
0.099 0.099 0.000
0.901 0.901 0.000
0.250 0.750 0.500
0.430 0.430 0.000
0.570 0.570 0.000
0.750 0.250 0.500
0.000 0.500 0.500
0.317 0.317 0.000
0.500 0.000 0.500
0.683 0.683 0.000


TaSb3Ir (PBE, relaxed); DOS(E_F) = 7.5 states/eV per cell; calculated density = 9.1 g/cm3; raw formation energy = 1123 meV per atom; E = -5.493 eV per atom; symmetry = Pm-3m
1.0
5.124 0.000 0.000
0.000 5.124 0.000
0.000 0.000 5.124
Ta Sb Ir
1 3 1
direct
0.000 0.000 0.000
0.000 0.500 0.500
0.500 0.000 0.500
0.500 0.500 0.000
0.500 0.500 0.500


SrB (PBE, relaxed); DOS(E_F) = 4.5 states/eV per cell; calculated density = 3.4 g/cm3; E = -4.155 eV per atom; calculated formation energy = 0.05 eV per formula unit; symmetry = I4/mmm
1.0
-5.426 5.426 1.630
5.426 -5.426 1.630
5.426 5.426 -1.630
Sr B
4 4
direct
0.000 0.246 0.246
0.000 0.754 0.754
0.246 0.000 0.246
0.754 0.000 0.754
0.261 0.261 0.522
0.261 0.739 0.000
0.739 0.261 0.000
0.739 0.739 0.478


HfCrRu2 (PBE, relaxed); DOS(E_F) = 4.5 states/eV per cell; calculated density = 11.7 g/cm3; E = -9.774 eV per atom; calculated formation energy = -0.97 eV per formula unit; symmetry = P4/mmm
1.0
3.153 0.000 0.000
0.000 3.153 0.000
0.000 0.000 6.173
Hf Cr Ru
1 1 2
direct
0.000 0.000 0.000
0.000 0.000 0.500
0.500 0.500 0.268
0.500 0.500 0.732